Run A
{
  "formula": "Nd2ZnCd",
  "functional": "PBE",
  "state": "optimized geometry",
  "magmom_total_mub_per_fu": 0.0,
  "sg": "No. 225",
  "lattice_angstrom": [[-0.757, 5.160, 1.148], [-4.321, 2.539, -1.843], [-3.886, 1.444, 3.365]],
  "species": ["Cd", "Zn", "Nd", "Nd"],
  "frac_coords": [[0.500, 0.500, 0.500], [0.000, 0.000, 0.000], [0.750, 0.750, 0.750], [0.250, 0.250, 0.250]]
}


Run B
{
  "formula": "Nd2ZnCd",
  "functional": "PBE",
  "state": "optimized geometry",
  "magmom_total_mub_per_fu": 0.0,
  "sg": "No. 123",
  "lattice_angstrom": [[-1.833, 0.568, -3.211], [-2.830, -2.107, 1.243], [-3.314, 6.214, 2.992]],
  "species": ["Nd", "Cd", "Nd", "Zn"],
  "frac_coords": [[0.000, 0.000, 0.230], [0.500, 0.500, 0.500], [0.000, 0.000, 0.770], [0.500, 0.500, 0.000]]
}


Stability, descending: run B, run A


Run A
{
  "formula": "Cd5Ni",
  "functional": "PBE",
  "state": "optimized geometry",
  "magmom_total_mub_per_fu": 0.0,
  "sg": "No. 8",
  "lattice_angstrom": [[3.007, 0.000, 0.000], [-1.503, 6.211, 0.717], [0.000, 2.818, 6.954]],
  "species": ["Cd", "Ni", "Cd", "Cd", "Cd", "Cd"],
  "frac_coords": [[0.037, 0.074, 0.987], [0.689, 0.377, 0.074], [0.025, 0.051, 0.400], [0.292, 0.585, 0.261], [0.735, 0.470, 0.640], [0.389, 0.778, 0.805]]
}


Run B
{
  "formula": "Cd5Ni",
  "functional": "PBE",
  "state": "optimized geometry",
  "magmom_total_mub_per_fu": 0.0,
  "sg": "No. 38",
  "lattice_angstrom": [[-2.951, 0.147, -0.884], [0.252, -4.589, -6.979], [-0.951, -3.897, 2.528]],
  "species": ["Ni", "Cd", "Cd", "Cd", "Cd", "Cd"],
  "frac_coords": [[0.888, 0.223, 0.500], [0.343, 0.313, 0.000], [0.664, 0.672, 0.000], [0.241, 0.518, 0.500], [0.536, 0.929, 0.500], [0.994, 0.012, 0.000]]
}


Run C
{
  "formula": "Cd5Ni",
  "functional": "PBE",
  "state": "optimized geometry",
  "magmom_total_mub_per_fu": 0.0,
  "sg": "No. 123",
  "lattice_angstrom": [[11.999, 0.000, 0.000], [0.000, 3.161, 0.000], [0.000, 0.000, 3.161]],
  "species": ["Cd", "Ni", "Cd", "Cd", "Cd", "Cd"],
  "frac_coords": [[0.703, 0.000, 0.000], [0.833, 0.500, 0.500], [0.516, 0.500, 0.500], [0.333, 0.000, 0.000], [0.151, 0.500, 0.500], [0.964, 0.000, 0.000]]
}


Run D
{
  "formula": "Cd5Ni",
  "functional": "PBE",
  "state": "optimized geometry",
  "magmom_total_mub_per_fu": 0.0,
  "sg": "No. 189",
  "lattice_angstrom": [[-1.901, 4.055, 2.868], [-2.211, -1.212, -4.682], [-3.034, -2.981, 2.205]],
  "species": ["Cd", "Ni", "Cd", "Cd", "Cd", "Cd"],
  "frac_coords": [[0.000, 0.333, 0.500], [0.667, 0.667, 0.500], [0.333, 0.000, 0.500], [0.983, 0.983, 0.000], [0.351, 0.667, 0.000], [0.667, 0.351, 0.000]]
}


Stability, descending: run A, run C, run D, run B


Run A
{
  "formula": "Cd5Ni",
  "functional": "PBE",
  "state": "optimized geometry",
  "magmom_total_mub_per_fu": 0.0,
  "sg": "No. 65",
  "lattice_angstrom": [[4.358, 0.000, 0.000], [2.179, 6.420, 0.000], [0.000, 0.000, 4.203]],
  "species": ["Cd", "Cd", "Cd", "Ni", "Cd", "Cd"],
  "frac_coords": [[0.368, 0.265, 0.000], [0.184, 0.632, 0.500], [0.528, 0.945, 0.500], [0.028, 0.944, 0.000], [0.872, 0.257, 0.500], [0.688, 0.624, 0.000]]
}


Run B
{
  "formula": "Cd5Ni",
  "functional": "PBE",
  "state": "optimized geometry",
  "magmom_total_mub_per_fu": 0.0,
  "sg": "No. 216",
  "lattice_angstrom": [[-4.428, 0.216, 3.458], [-3.280, 4.566, 0.086], [-5.213, -0.244, -2.090]],
  "species": ["Cd", "Cd", "Cd", "Cd", "Cd", "Ni"],
  "frac_coords": [[0.876, 0.375, 0.375], [0.750, 0.750, 0.750], [0.375, 0.375, 0.375], [0.375, 0.876, 0.375], [0.375, 0.375, 0.876], [0.000, 0.000, 0.000]]
}


Run C
{
  "formula": "Cd5Ni",
  "functional": "PBE",
  "state": "optimized geometry",
  "magmom_total_mub_per_fu": 0.0,
  "sg": "No. 140",
  "lattice_angstrom": [[-6.296, 2.301, 0.781], [-1.664, -5.663, 3.273], [5.425, 4.014, 2.746]],
  "species": ["Cd", "Cd", "Ni", "Cd", "Cd", "Cd", "Cd", "Ni", "Cd", "Cd", "Cd", "Cd"],
  "frac_coords": [[0.020, 0.520, 0.717], [0.303, 0.803, 0.283], [0.750, 0.750, 0.500], [0.500, 0.500, 0.000], [0.000, 0.000, 0.000], [0.480, 0.303, 0.283], [0.980, 0.480, 0.283], [0.250, 0.250, 0.500], [0.520, 0.697, 0.717], [0.697, 0.197, 0.717], [0.197, 0.020, 0.717], [0.803, 0.980, 0.283]]
}


Stability, descending: run C, run A, run B


Run A
{
  "formula": "Cd3Ni5",
  "functional": "PBE",
  "state": "optimized geometry",
  "magmom_total_mub_per_fu": 0.5,
  "sg": "No. 65",
  "lattice_angstrom": [[3.574, -4.000, 0.000], [3.574, 4.000, 0.000], [0.000, 0.000, 3.968]],
  "species": ["Cd", "Ni", "Cd", "Ni", "Ni", "Cd", "Ni", "Ni"],
  "frac_coords": [[0.238, 0.762, 0.500], [0.245, 0.245, 0.500], [0.500, 0.500, 0.000], [0.000, 0.000, 0.000], [0.755, 0.755, 0.500], [0.762, 0.238, 0.500], [0.500, 0.000, 0.000], [0.000, 0.500, 0.000]]
}


Run B
{
  "formula": "Cd3Ni5",
  "functional": "PBE",
  "state": "optimized geometry",
  "magmom_total_mub_per_fu": 0.2,
  "sg": "No. 42",
  "lattice_angstrom": [[-0.568, -7.296, 0.873], [5.028, 5.213, -1.364], [-1.139, 1.769, 7.042]],
  "species": ["Cd", "Ni", "Ni", "Ni", "Ni", "Ni", "Cd", "Ni", "Ni", "Cd", "Ni", "Ni", "Cd", "Ni", "Cd", "Cd"],
  "frac_coords": [[0.250, 0.250, 0.000], [0.936, 0.741, 0.677], [0.563, 0.240, 0.803], [0.436, 0.759, 0.196], [0.259, 0.936, 0.197], [0.063, 0.260, 0.323], [0.750, 0.750, 0.000], [0.240, 0.437, 0.677], [0.749, 0.250, 0.500], [0.182, 0.683, 0.867], [0.250, 0.750, 0.500], [0.759, 0.564, 0.323], [0.816, 0.316, 0.133], [0.740, 0.063, 0.804], [0.316, 0.184, 0.500], [0.683, 0.817, 0.500]]
}


Run C
{
  "formula": "Cd3Ni5",
  "functional": "PBE",
  "state": "optimized geometry",
  "magmom_total_mub_per_fu": 1.4,
  "sg": "No. 193",
  "lattice_angstrom": [[-7.387, -1.873, -1.851], [-1.619, -7.049, -3.031], [-0.634, -1.668, 4.217]],
  "species": ["Ni", "Cd", "Cd", "Cd", "Ni", "Cd", "Ni", "Cd", "Ni", "Ni", "Ni", "Ni", "Cd", "Ni", "Ni", "Ni"],
  "frac_coords": [[0.000, 0.181, 0.750], [0.614, 0.386, 0.750], [0.000, 0.614, 0.750], [0.000, 0.386, 0.250], [0.667, 0.667, 0.500], [0.614, 0.000, 0.250], [0.000, 0.820, 0.250], [0.386, 0.000, 0.750], [0.333, 0.333, 0.000], [0.333, 0.333, 0.500], [0.820, 0.000, 0.750], [0.180, 0.820, 0.750], [0.386, 0.614, 0.250], [0.667, 0.667, 0.000], [0.180, 0.000, 0.250], [0.820, 0.181, 0.250]]
}


Stability, descending: run A, run B, run C


Run A
{
  "formula": "Cd3Ni2",
  "functional": "PBE",
  "state": "optimized geometry",
  "magmom_total_mub_per_fu": 0.6,
  "sg": "No. 166",
  "lattice_angstrom": [[-3.458, 3.762, -10.175], [-6.107, 2.913, -9.157], [-5.068, 5.611, -8.513]],
  "species": ["Ni", "Cd", "Ni", "Cd", "Cd"],
  "frac_coords": [[0.604, 0.604, 0.604], [0.792, 0.792, 0.792], [0.396, 0.396, 0.396], [0.000, 0.000, 0.000], [0.208, 0.208, 0.208]]
}


Run B
{
  "formula": "Cd3Ni2",
  "functional": "PBE",
  "state": "optimized geometry",
  "magmom_total_mub_per_fu": 0.0,
  "sg": "No. 164",
  "lattice_angstrom": [[-1.131, -3.885, -1.779], [2.643, 2.762, -2.220], [4.265, -2.273, 2.250]],
  "species": ["Cd", "Cd", "Ni", "Ni", "Cd"],
  "frac_coords": [[0.333, 0.667, 0.360], [0.667, 0.333, 0.640], [0.667, 0.333, 0.132], [0.333, 0.667, 0.868], [0.000, 0.000, 0.000]]
}


Run C
{
  "formula": "Cd3Ni2",
  "functional": "PBE",
  "state": "optimized geometry",
  "magmom_total_mub_per_fu": 0.0,
  "sg": "No. 43",
  "lattice_angstrom": [[0.000, 4.776, 6.721], [2.602, 0.000, 6.721], [2.602, 4.776, 0.000]],
  "species": ["Ni", "Cd", "Cd", "Cd", "Cd", "Cd", "Ni", "Cd", "Ni", "Ni"],
  "frac_coords": [[0.896, 0.196, 0.556], [0.822, 0.888, 0.777], [0.917, 0.083, 0.083], [0.473, 0.736, 0.428], [0.167, 0.333, 0.333], [0.514, 0.777, 0.888], [0.054, 0.354, 0.898], [0.362, 0.428, 0.736], [0.694, 0.898, 0.354], [0.352, 0.556, 0.196]]
}


Stability, descending: run B, run C, run A


Run A
{
  "formula": "Cd5Ni3",
  "functional": "PBE",
  "state": "optimized geometry",
  "magmom_total_mub_per_fu": 0.0,
  "sg": "No. 65",
  "lattice_angstrom": [[3.817, -4.209, 0.000], [3.817, 4.209, 0.000], [0.000, 0.000, 4.187]],
  "species": ["Ni", "Cd", "Cd", "Ni", "Cd", "Ni", "Cd", "Cd"],
  "frac_coords": [[0.237, 0.763, 0.500], [0.282, 0.282, 0.500], [0.718, 0.718, 0.500], [0.500, 0.500, 0.000], [0.000, 0.500, 0.000], [0.763, 0.237, 0.500], [0.000, 0.000, 0.000], [0.500, 0.000, 0.000]]
}


Run B
{
  "formula": "Cd5Ni3",
  "functional": "PBE",
  "state": "optimized geometry",
  "magmom_total_mub_per_fu": 0.0,
  "sg": "No. 15",
  "lattice_angstrom": [[5.414, 0.108, -0.104], [2.851, 7.221, 0.017], [-2.859, 0.014, 7.215]],
  "species": ["Ni", "Cd", "Cd", "Cd", "Ni", "Cd", "Cd", "Ni", "Cd", "Cd", "Ni", "Cd", "Ni", "Cd", "Ni", "Cd"],
  "frac_coords": [[0.250, 0.006, 0.007], [0.390, 0.872, 0.703], [0.273, 0.289, 0.845], [0.773, 0.155, 0.711], [0.250, 0.162, 0.481], [0.727, 0.711, 0.156], [0.611, 0.128, 0.298], [0.750, 0.994, 0.994], [0.111, 0.703, 0.873], [0.890, 0.297, 0.128], [0.750, 0.519, 0.839], [0.227, 0.845, 0.289], [0.751, 0.838, 0.520], [0.250, 0.531, 0.531], [0.251, 0.481, 0.162], [0.750, 0.469, 0.469]]
}


Run C
{
  "formula": "Cd5Ni3",
  "functional": "PBE",
  "state": "optimized geometry",
  "magmom_total_mub_per_fu": 0.0,
  "sg": "No. 193",
  "lattice_angstrom": [[-0.651, 4.171, -6.478], [-3.280, -6.987, 0.445], [-4.514, 2.240, 1.896]],
  "species": ["Cd", "Cd", "Cd", "Ni", "Cd", "Cd", "Cd", "Cd", "Cd", "Ni", "Ni", "Ni", "Ni", "Cd", "Cd", "Ni"],
  "frac_coords": [[0.756, 0.000, 0.750], [0.333, 0.667, 0.000], [0.667, 0.333, 0.500], [0.000, 0.600, 0.250], [0.756, 0.756, 0.250], [0.244, 0.244, 0.750], [0.667, 0.333, 0.000], [0.000, 0.244, 0.250], [0.245, 0.000, 0.250], [0.600, 0.000, 0.250], [0.000, 0.400, 0.750], [0.400, 0.400, 0.250], [0.600, 0.600, 0.750], [0.333, 0.667, 0.500], [0.000, 0.756, 0.750], [0.400, 0.000, 0.750]]
}


Stability, descending: run B, run A, run C


Run A
{
  "formula": "Cd2Ni3",
  "functional": "PBE",
  "state": "optimized geometry",
  "magmom_total_mub_per_fu": 1.3,
  "sg": "No. 166",
  "lattice_angstrom": [[10.694, -1.413, -0.003], [10.694, 1.413, -0.003], [10.508, 0.000, 2.437]],
  "species": ["Cd", "Cd", "Ni", "Ni", "Ni"],
  "frac_coords": [[0.402, 0.402, 0.402], [0.598, 0.598, 0.598], [0.195, 0.195, 0.195], [0.000, 0.000, 0.000], [0.805, 0.805, 0.805]]
}


Run B
{
  "formula": "Cd2Ni3",
  "functional": "PBE",
  "state": "optimized geometry",
  "magmom_total_mub_per_fu": 0.2,
  "sg": "No. 43",
  "lattice_angstrom": [[4.623, -5.432, 3.440], [3.818, -1.007, 5.845], [-2.134, -4.279, 1.774]],
  "species": ["Ni", "Ni", "Ni", "Cd", "Ni", "Ni", "Cd", "Ni", "Cd", "Cd"],
  "frac_coords": [[0.440, 0.832, 0.925], [0.027, 0.973, 0.973], [0.325, 0.446, 0.810], [0.997, 0.399, 0.871], [0.277, 0.223, 0.223], [0.804, 0.925, 0.832], [0.851, 0.253, 0.517], [0.418, 0.810, 0.446], [0.733, 0.871, 0.399], [0.379, 0.517, 0.253]]
}


Stability, descending: run B, run A


Run A
{
  "formula": "Cd4Ni3",
  "functional": "PBE",
  "state": "optimized geometry",
  "magmom_total_mub_per_fu": 0.0,
  "sg": "No. 191",
  "lattice_angstrom": [[2.516, -4.358, 0.000], [2.516, 4.358, 0.000], [0.000, 0.000, 5.279]],
  "species": ["Ni", "Cd", "Ni", "Cd", "Cd", "Ni", "Cd"],
  "frac_coords": [[0.500, 0.500, 0.000], [0.000, 0.000, 0.752], [0.500, 0.000, 0.000], [0.667, 0.333, 0.500], [0.000, 0.000, 0.248], [0.000, 0.500, 0.000], [0.333, 0.667, 0.500]]
}


Run B
{
  "formula": "Cd4Ni3",
  "functional": "PBE",
  "state": "optimized geometry",
  "magmom_total_mub_per_fu": 0.5,
  "sg": "No. 139",
  "lattice_angstrom": [[-0.408, -1.011, 2.801], [-0.829, -2.677, -1.087], [11.623, -5.781, 1.219]],
  "species": ["Ni", "Cd", "Cd", "Ni", "Ni", "Cd", "Cd"],
  "frac_coords": [[0.274, 0.274, 0.453], [0.566, 0.566, 0.867], [0.434, 0.434, 0.133], [0.000, 0.000, 0.000], [0.726, 0.726, 0.547], [0.840, 0.840, 0.320], [0.160, 0.160, 0.680]]
}


Stability, descending: run B, run A